1.
Here is a crystal of La4Ni3O10 relaxed with PBEsol from Alexandria. Energies are from meta-GGA SCAN.

Properties
Raw total energy in eV/atom: -19.4251
Uncorrected formation energy in meV/atom: -2763
Calculated volume in Å³ per atom: 11.6
Density of states at the Fermi level in states/eV/f.u.: 2.832

Lattice parameters (Å, degrees): 3.7942 3.7942 13.9878 97.79 97.79 90.00
Closest atoms and distances in Å follow each position.
Fractional positions:
La: 0.6978 0.6978 0.3957  5 O 2.38-2.49
O: 0.9293 0.9293 0.8586  2 Ni 1.90-1.94
O: 0.2156 0.2156 0.4312  1 Ni 2.08
O: 0.7844 0.7844 0.5688  1 Ni 2.08
O: 0.6391 0.1391 0.2782  2 Ni 1.90
La: 0.3022 0.3022 0.6043  5 O 2.38-2.49
La: 0.5667 0.5667 0.1334  12 O 2.64-2.75
O: 0.0000 0.5000 0.0000  2 Ni 1.90
O: 0.0707 0.0707 0.1414  2 Ni 1.90-1.94
O: 0.3609 0.8609 0.7218  2 Ni 1.90
Ni: 0.8601 0.8601 0.7202  6 O 1.90-2.08
O: 0.1391 0.6391 0.2782  2 Ni 1.90
Ni: 0.0000 0.0000 0.0000  6 O 1.90-1.94
La: 0.4333 0.4333 0.8666  12 O 2.64-2.75
Ni: 0.1399 0.1399 0.2798  6 O 1.90-2.08
O: 0.5000 0.0000 0.0000  2 Ni 1.90
O: 0.8609 0.3609 0.7218  2 Ni 1.90

2.
Here is a crystal of Cs2Sn2Bi relaxed with PBEsol from Alexandria. Energies are from meta-GGA SCAN.

Properties
ΔH_f (0 K) in meV per atom: 163
Raw total energy in eV/atom: -45.0452
Calculated volume in Å³ per atom: 39.6
Density of states at the Fermi level in states/eV/f.u.: 2.818

Lattice parameters (Å, degrees): 4.9866 4.9866 8.7094 106.64 106.64 90.00
Closest atoms and distances in Å follow each position.
Fractional positions:
Cs: 0.2500 0.7500 0.5000  4 Cs 3.53, 4 Sn 3.66
Sn: 0.4180 0.4180 0.8359  1 Sn 2.61
Cs: 0.7500 0.2500 0.5000  4 Cs 3.53, 4 Sn 3.66
Bi: 0.0000 0.0000 0.0000  8 Sn 3.76
Sn: 0.5820 0.5820 0.1641  1 Sn 2.61

3.
Here is a crystal of RuPt2Rh relaxed with PBEsol from Alexandria. Energies are from meta-GGA SCAN.

Properties
ΔH_f (0 K) in meV per atom: 23
Raw total energy in eV/atom: -52.2232
Calculated volume in Å³ per atom: 14.1
Density of states at the Fermi level in states/eV/f.u.: 4.494

Lattice parameters (Å, degrees): 2.7126 4.6915 4.7166 99.53 90.00 106.80
Closest atoms and distances in Å follow each position.
Fractional positions:
Ru: 0.5000 0.0000 0.0000  6 Pt 2.69-2.72, 2 Ru 2.71, 4 Rh 2.72
Rh: 0.0000 0.0000 0.5000  6 Pt 2.70-2.73, 2 Rh 2.71, 4 Ru 2.72
Pt: 0.2479 0.4959 0.2466  3 Ru 2.69-2.72, 6 Pt 2.70-2.74, 3 Rh 2.70-2.73
Pt: 0.7521 0.5041 0.7534  3 Ru 2.69-2.72, 6 Pt 2.70-2.74, 3 Rh 2.70-2.73